## ScTlPd (PBE)

Data for crystalline ScTlPd at its relaxed geometry.

It has space group F-43m (No. 216), with a = 6.554 Å, b = 6.554 Å, c = 6.554 Å, α = 90.00°, β = 90.00° and γ = 90.00°. The distinct sites, in fractional coordinates, are Sc at (0.000, 0.000, 0.000), Tl at (0.250, 0.250, 0.250) and Pd at (0.250, 0.250, 0.750).


## HoTa2Ga2 (PBE)

Data for crystalline HoTa2Ga2 at its relaxed geometry.

It has space group P4/mbm (No. 127), with a = 7.355 Å, b = 7.355 Å, c = 3.447 Å, α = 90.00°, β = 90.00° and γ = 90.00°. The distinct sites, in fractional coordinates, are Ho at (0.000, 0.000, 0.000), Ta at (0.173, 0.327, 0.500) and Ga at (0.122, 0.622, 0.000).


| no. | total energy (eV per atom) |
| --- | --- |
| 1 | -4.722 |
| 2 | -7.000 |